{
  "formula": "Cu2OsAu",
  "functional": "meta-GGA SCAN",
  "state": "single point on PBEsol structure",
  "crystal_system": "orthorhombic",
  "delta_e_f_ev_per_atom": 0.36,
  "m_tot_mub_per_fu": 0.00,
  "e_above_lowest_polymorph_mev_per_atom": 0,
  "dos_ef_per_ev_atom": 0.5886,
  "cell": [[4.152, 0.000, 0.000], [0.000, 1.298, 4.999], [0.000, -1.298, 4.999]],
  "species": ["Cu", "Cu", "Os", "Au"],
  "fractional_positions": [[0.000, 0.000, 0.000], [0.500, 0.131, 0.131], [0.000, 0.732, 0.732], [0.500, 0.387, 0.387]]
}